# TePtPb2

Crystalline TePtPb2 at its relaxed geometry (PBE, Alexandria).

Calculated values
Symmetry = P4/mmm
DOS(E_F) = 1.5 states/eV/f.u.
E_form (uncorrected) = 69.7 meV per atom

Cell: 5.234 5.234 3.868 Å, 90.00 90.00 90.00°
Element x y z (fractional)
Te 0.000 0.000 0.000
Pt 0.500 0.500 0.000
Pb 0.000 0.500 0.500
Pb 0.500 0.000 0.500